! Rb3SmSc2Te6, optimized geometry, DFT PBE; values from VASP
&SYSTEM
  ibrav = 0, nat = 12, ntyp = 4
/
ATOMIC_SPECIES
Rb 85.47 Rb.upf
Sm 150.36 Sm.upf
Sc 44.96 Sc.upf
Te 127.60 Te.upf
CELL_PARAMETERS angstrom
3.8385 -6.6480 0.0000
3.8385 6.6480 0.0000
-2.5686 0.0000 8.5148
ATOMIC_POSITIONS angstrom
Rb 0.0000 0.0000 0.0000
Rb 3.8385 2.1535 0.0000
Rb 3.8385 -2.1535 0.0000
Sm 2.5542 0.0000 4.2574
Sc 2.5542 4.4242 4.2574
Sc 2.5542 -4.4242 4.2574
Te 1.2140 2.3223 2.6042
Te -0.1301 0.0000 5.8960
Te 1.2140 -2.3223 2.6042
Te 3.8945 2.3223 5.9106
Te 5.2386 0.0000 2.6188
Te 3.8945 -2.3223 5.9106
! - E_tot (eV for the cell shown) = -54.55
! - formation energy (no corrections) (eV/atom) = -1.28
! - M_tot (μB/f.u.) = 0.00
! - space group = C2/m (12)